## Li2PmPuSe4 (GGA-PBE)

Data for a geometry-optimized Li2PmPuSe4 structure.

Cell and atoms, written as CIF:
```
data_Li2PmPuSe4
_chemical_formula_sum 'Li2 Pm1 Pu1 Se4'
_space_group_name_H-M_alt 'P 1'
_space_group_IT_number 1
_cell_length_a 6.9119
_cell_length_b 4.1613
_cell_length_c 7.2010
_cell_angle_alpha 90.00
_cell_angle_beta 110.43
_cell_angle_gamma 90.00
loop_
_space_group_symop_operation_xyz
'x,y,z'
loop_
_atom_site_label
_atom_site_fract_x
_atom_site_fract_y
_atom_site_fract_z
_atom_site_occupancy
Li1 0.0000 0.0000 0.0000 1
Li2 0.0000 0.5000 0.5000 1
Pm1 0.5000 0.0000 0.5000 1
Pu1 0.5000 0.5000 0.0000 1
Se1 0.2408 0.5000 0.2449 1
Se2 0.2455 0.0000 0.7524 1
Se3 0.7545 0.0000 0.2476 1
Se4 0.7592 0.5000 0.7551 1
```

Properties
Its uncorrected formation energy is -1176 kJ/mol of formula units. For the raw total energy, the calculation gives -49.03 eV for the cell shown. The symmetry is P2/m.



## ScBi2AsC (GGA-PBE)

Data for a geometry-optimized ScBi2AsC structure.

Cell and atoms, written as CIF:
```
data_ScBi2AsC
_chemical_formula_sum 'Sc1 Bi2 As1 C1'
_space_group_name_H-M_alt 'P 1'
_space_group_IT_number 1
_cell_length_a 5.0859
_cell_length_b 5.0859
_cell_length_c 4.4357
_cell_angle_alpha 90.00
_cell_angle_beta 90.00
_cell_angle_gamma 90.00
loop_
_space_group_symop_operation_xyz
'x,y,z'
loop_
_atom_site_label
_atom_site_fract_x
_atom_site_fract_y
_atom_site_fract_z
_atom_site_occupancy
Sc1 0.0000 0.0000 0.0000 1
Bi1 0.0000 0.5000 0.5000 1
Bi2 0.5000 0.0000 0.5000 1
As1 0.5000 0.5000 0.0000 1
C1 0.0000 0.0000 0.5000 1
```

Properties
The formation energy is 0.397 eV per atom. For the raw total energy, the calculation gives -25.98 eV for the cell shown. The symmetry is P4/mmm.



## YHfThZr (GGA-PBE)

Data for a geometry-optimized YHfThZr structure.

Cell and atoms, written as CIF:
```
data_YHfThZr
_chemical_formula_sum 'Y1 Hf1 Th1 Zr1'
_space_group_name_H-M_alt 'P 1'
_space_group_IT_number 1
_cell_length_a 5.3302
_cell_length_b 5.3302
_cell_length_c 5.3302
_cell_angle_alpha 60.00
_cell_angle_beta 60.00
_cell_angle_gamma 60.00
loop_
_space_group_symop_operation_xyz
'x,y,z'
loop_
_atom_site_label
_atom_site_fract_x
_atom_site_fract_y
_atom_site_fract_z
_atom_site_occupancy
Y1 0.0000 0.0000 0.0000 1
Hf1 0.2500 0.2500 0.2500 1
Th1 0.5000 0.5000 0.5000 1
Zr1 0.7500 0.7500 0.7500 1
```

Properties
The formation energy is 0.217 eV per atom. For the raw total energy, the calculation gives -31.52 eV for the cell shown. The symmetry is F-43m.



## NaScC (GGA-PBE)

Data for a geometry-optimized NaScC structure.

Cell and atoms, written as CIF:
```
data_NaScC
_chemical_formula_sum 'Na4 Sc4 C4'
_space_group_name_H-M_alt 'P 1'
_space_group_IT_number 1
_cell_length_a 7.2882
_cell_length_b 4.0346
_cell_length_c 6.2503
_cell_angle_alpha 90.00
_cell_angle_beta 90.00
_cell_angle_gamma 90.00
loop_
_space_group_symop_operation_xyz
'x,y,z'
loop_
_atom_site_label
_atom_site_fract_x
_atom_site_fract_y
_atom_site_fract_z
_atom_site_occupancy
Na1 0.0525 0.2500 0.1432 1
Na2 0.4475 0.7500 0.6432 1
Na3 0.5525 0.2500 0.3568 1
Na4 0.9475 0.7500 0.8568 1
Sc1 0.1480 0.2500 0.5901 1
Sc2 0.3520 0.7500 0.0901 1
Sc3 0.6480 0.2500 0.9099 1
Sc4 0.8520 0.7500 0.4099 1
C1 0.1630 0.7500 0.3947 1
C2 0.3370 0.2500 0.8947 1
C3 0.6630 0.7500 0.1053 1
C4 0.8370 0.2500 0.6053 1
```

Properties
The formation energy is 0.102 eV per atom. For the raw total energy, the calculation gives -66.27 eV for the cell shown. For the polymorph energy (0 for the lowest one), the calculation gives 245 meV/atom. The symmetry is Pnma.